*one*
A geometry-optimized TcPCl2 structure. Source: the Alexandria database, functional PBEsol.

Geometry as POSCAR:
```
TcPCl2
1.0
3.116 0.000 0.000
0.000 4.354 0.000
0.000 0.000 4.354
Cl P Tc
2 1 1
direct
0.000 0.000 0.500
0.000 0.500 0.000
0.500 0.500 0.500
0.500 0.000 0.000
```

Output
Density = 5.6 g cm⁻³

*two*
A geometry-optimized TcPCl2 structure. Source: the Alexandria database, functional PBEsol.

Geometry as POSCAR:
```
TcPCl2
1.0
-1.813 -1.112 -2.245
2.358 -1.692 -1.066
-2.223 -6.146 4.841
Cl P Tc
2 1 1
direct
0.000 0.000 0.061
0.500 0.500 0.701
0.000 0.000 0.312
0.500 0.500 0.426
```

Output
Density = 4.3 g cm⁻³

*three*
A geometry-optimized TcPCl2 structure. Source: the Alexandria database, functional PBEsol.

Geometry as POSCAR:
```
TcPCl2
1.0
-2.182 -1.969 -0.601
-0.002 -1.318 4.323
-2.685 5.473 -0.696
Cl P Tc
2 1 1
direct
0.931 0.931 0.862
0.734 0.234 0.468
0.590 0.590 0.179
0.245 0.745 0.490
```

Output
Density = 4.4 g cm⁻³

*four*
A geometry-optimized TcPCl2 structure. Source: the Alexandria database, functional PBEsol.

Geometry as POSCAR:
```
TcPCl2
1.0
2.961 0.000 0.000
1.480 2.564 0.000
1.480 0.855 9.157
Cl P Tc
2 1 1
direct
0.271 0.271 0.187
0.729 0.729 0.813
0.500 0.500 0.500
0.000 0.000 0.000
```

Output
Density = 4.8 g cm⁻³

Relative energies in eV/atom: *one* 1.237; *two* 0.000; *three* 0.454; *four* 0.655

*one*
A geometry-optimized TePCl2 structure. Source: the Alexandria database, functional PBEsol.

Geometry as POSCAR:
```
TePCl2
1.0
-0.582 -3.167 2.002
3.462 2.673 1.644
-4.471 3.645 4.465
Cl P Te
2 1 1
direct
0.042 0.085 0.081
0.357 0.715 0.705
0.383 0.767 0.427
0.717 0.434 0.288
```

Output
Density = 3.2 g cm⁻³

*two*
A geometry-optimized TePCl2 structure. Source: the Alexandria database, functional PBEsol.

Geometry as POSCAR:
```
TePCl2
1.0
-1.097 1.162 3.629
-1.984 -3.442 0.502
5.671 -2.884 2.638
Cl P Te
2 1 1
direct
0.000 0.000 0.927
0.500 0.500 0.303
0.000 0.000 0.624
0.500 0.500 0.646
```

Output
Density = 3.5 g cm⁻³

Relative energies in eV/atom: *one* 0.020; *two* 0.000

*one*
A geometry-optimized TePCl2 structure. Source: the Alexandria database, functional PBEsol.

Geometry as POSCAR:
```
TePCl2
1.0
-3.544 2.987 -1.434
-4.154 -1.818 -1.727
-4.075 0.358 2.609
Cl P Te
2 1 1
direct
0.750 0.750 0.750
0.250 0.250 0.250
0.000 0.000 0.000
0.500 0.500 0.500
```

Output
Density = 4.7 g cm⁻³

*two*
A geometry-optimized TePCl2 structure. Source: the Alexandria database, functional PBEsol.

Geometry as POSCAR:
```
TePCl2
1.0
-0.653 3.112 0.550
-3.055 1.039 -0.040
-1.971 -0.420 9.502
Cl P Te
2 1 1
direct
0.230 0.230 0.311
0.770 0.770 0.689
0.500 0.500 0.500
0.000 0.000 0.000
```

Output
Density = 4.4 g cm⁻³

Relative energies in eV/atom: *one* 0.332; *two* 0.000

*one*
A geometry-optimized PWCl2 structure. Source: the Alexandria database, functional PBEsol.

Geometry as POSCAR:
```
PWCl2
1.0
-0.073 -0.391 -3.038
-3.328 -3.250 0.498
-2.981 6.310 -0.741
Cl P W
2 1 1
direct
0.000 0.358 0.215
0.000 0.642 0.785
0.500 0.000 0.500
0.500 0.500 0.500
```

Output
Density = 5.0 g cm⁻³

*two*
A geometry-optimized PWCl2 structure. Source: the Alexandria database, functional PBEsol.

Geometry as POSCAR:
```
PWCl2
1.0
-2.620 0.450 1.275
0.296 -3.572 1.869
4.309 4.636 3.807
Cl P W
2 1 1
direct
0.648 0.648 0.295
0.352 0.352 0.705
0.500 0.000 0.000
0.000 0.500 0.000
```

Output
Density = 5.7 g cm⁻³

*three*
A geometry-optimized PWCl2 structure. Source: the Alexandria database, functional PBEsol.

Geometry as POSCAR:
```
PWCl2
1.0
2.814 0.000 0.000
0.000 4.906 0.037
0.000 -1.858 4.541
Cl P W
2 1 1
direct
0.000 0.500 0.000
0.000 0.000 0.500
0.500 0.000 0.000
0.500 0.500 0.500
```

Output
Density = 7.5 g cm⁻³

Relative energies in eV/atom: *one* 0.000; *two* 0.108; *three* 1.257

*one*
A geometry-optimized YP2Cl structure. Source: the Alexandria database, functional PBEsol.

Geometry as POSCAR:
```
YP2Cl
1.0
-2.850 0.916 2.450
-0.996 -3.730 0.236
3.470 -0.656 4.281
Cl P Y
1 2 1
direct
0.500 0.500 0.500
0.000 0.000 0.809
0.000 0.000 0.191
0.500 0.500 0.000
```

Output
Density = 3.7 g cm⁻³

*two*
A geometry-optimized YP2Cl structure. Source: the Alexandria database, functional PBEsol.

Geometry as POSCAR:
```
YP2Cl
1.0
-0.117 1.143 -4.602
2.170 -2.764 -3.186
-2.569 -2.599 -3.025
Cl P Y
1 2 1
direct
0.500 0.500 0.500
0.000 0.000 0.000
0.750 0.750 0.750
0.250 0.250 0.250
```

Output
Density = 4.1 g cm⁻³

*three*
A geometry-optimized YP2Cl structure. Source: the Alexandria database, functional PBEsol.

Geometry as POSCAR:
```
YP2Cl
1.0
3.492 0.000 0.000
0.000 4.154 0.056
0.000 -0.102 6.583
Cl P Y
1 2 1
direct
0.500 0.376 0.717
0.000 0.873 0.083
0.500 0.875 0.290
0.000 0.375 0.411
```

Output
Density = 3.2 g cm⁻³

Relative energies in eV/atom: *one* 0.213; *two* 0.630; *three* 0.000

*one*
A geometry-optimized YPCl2 structure. Source: the Alexandria database, functional PBEsol.

Geometry as POSCAR:
```
YPCl2
1.0
3.815 0.000 0.000
-1.907 4.660 -0.011
0.000 -1.160 6.184
Cl P Y
2 1 1
direct
0.078 0.156 0.070
0.292 0.585 0.673
0.420 0.840 0.414
0.709 0.419 0.343
```

Output
Density = 2.9 g cm⁻³

*two*
A geometry-optimized YPCl2 structure. Source: the Alexandria database, functional PBEsol.

Geometry as POSCAR:
```
YPCl2
1.0
3.228 0.000 0.000
0.000 3.228 0.000
0.000 0.000 8.479
Cl P Y
2 1 1
direct
0.000 0.000 0.681
0.000 0.000 0.319
0.500 0.500 0.000
0.500 0.500 0.500
```

Output
Density = 3.6 g cm⁻³

Relative energies in eV/atom: *one* 0.000; *two* 0.396

*one*
A geometry-optimized ZnPCl2 structure. Source: the Alexandria database, functional PBEsol.

Geometry as POSCAR:
```
ZnPCl2
1.0
3.196 0.000 0.000
1.598 6.689 1.765
1.598 4.316 5.406
Cl P Zn
2 1 1
direct
0.358 0.642 0.642
0.642 0.358 0.358
0.500 0.000 0.000
0.000 0.500 0.500
```

Output
Density = 3.0 g cm⁻³

*two*
A geometry-optimized ZnPCl2 structure. Source: the Alexandria database, functional PBEsol.

Geometry as POSCAR:
```
ZnPCl2
1.0
-2.244 -1.615 -1.584
1.122 -1.172 2.810
-6.223 4.406 4.323
Cl P Zn
2 1 1
direct
0.000 0.000 0.707
0.000 0.000 0.293
0.500 0.000 0.500
0.500 0.000 0.000
```

Output
Density = 3.5 g cm⁻³

Relative energies in eV/atom: *one* 0.000; *two* 0.062

*one*
A geometry-optimized ZnPCl2 structure. Source: the Alexandria database, functional PBEsol.

Geometry as POSCAR:
```
ZnPCl2
1.0
3.366 0.000 0.000
-1.683 3.046 0.000
0.000 0.000 8.296
Cl P Zn
2 1 1
direct
0.000 0.000 0.924
0.500 0.000 0.316
0.000 0.000 0.524
0.500 0.000 0.736
```

Output
Density = 3.3 g cm⁻³

*two*
A geometry-optimized ZnPCl2 structure. Source: the Alexandria database, functional PBEsol.

Geometry as POSCAR:
```
ZnPCl2
1.0
-2.913 0.332 3.561
-0.500 -3.545 2.908
1.640 0.296 4.301
Cl P Zn
2 1 1
direct
0.000 0.000 0.000
0.750 0.750 0.750
0.500 0.500 0.500
0.250 0.250 0.250
```

Output
Density = 4.0 g cm⁻³

Relative energies in eV/atom: *one* 0.000; *two* 0.578